Record 1
A plane-wave DFT calculation with PBE-GGA was carried out for a relaxed structure of PaTiIr.

Properties
* space-group type: No. 156
* VASP energy: -9.06 eV per atom

abc: 4.255 4.255 3.977
angles: 90.00 90.00 120.00
Fractional positions:
Pa1 0.000 0.000 0.000
Ti1 0.667 0.333 0.530
Ir1 0.333 0.667 0.386

---

Record 2
A plane-wave DFT calculation with PBE-GGA was carried out for a relaxed structure of PaTiIr2.

Properties
* space-group type: No. 166
* VASP energy: -9.52 eV per atom

abc: 5.373 5.373 5.373
angles: 47.10 47.10 47.10
Fractional positions:
Pa1 0.000 0.000 0.000
Ti1 0.500 0.500 0.500
Ir1 0.221 0.221 0.221
Ir2 0.779 0.779 0.779

---

Record 3
A plane-wave DFT calculation with PBE-GGA was carried out for a relaxed structure of PaTiIr2.

Properties
* space-group type: No. 123
* VASP energy: -9.57 eV per atom

abc: 3.065 3.065 7.398
angles: 90.00 90.00 90.00
Fractional positions:
Pa1 0.000 0.000 0.000
Ti1 0.000 0.000 0.500
Ir1 0.500 0.500 0.290
Ir2 0.500 0.500 0.710

---

no.,E above lowest polymorph (kJ/mol of formula units),DFT formation energy (eV per atom),magnetic moment (Bohr magnetons per cell)
1,89,-0.311,0.00
2,17,-0.744,0.00
3,0,-0.789,0.00